A relaxed structure of AcGaCuNi, computed with GGA-PBE.

Summary:
Calculated total energy ... -4.642 eV per atom
E_form ... -37.5 kJ per mole of atoms
Symmetry ... Cm, No. 8
DOS at the Fermi energy ... 3.32 states/eV/cell

Cell: 4.275 4.275 5.734 Å, 111.68 111.68 60.01°
Element x y z (fractional)
Ac  0.000  0.000  0.000
Ga  0.508  0.508  0.526
Cu  0.805  0.805  0.415
Ni  0.192  0.192  0.577